(one)
A relaxed BaH crystal. Source: the Alexandria database, functional PBE-GGA.

Cell lengths 3.8217, 3.8217, 7.8244 Å; angles 103.89, 104.04, 90.08 degrees
Closest atoms and distances in Å follow each position.
Fractional coordinates of all 4 atoms:
Ba1 0.1356 0.1366 0.2694  5 H 2.65-2.80
Ba2 0.8644 0.8634 0.7306  5 H 2.65-2.80
H1 0.3142 0.3137 0.6298  5 Ba 2.65-2.80
H2 0.6858 0.6863 0.3702  5 Ba 2.65-2.80

Results
- Spin magnetization: 0.000 μB/f.u.
- Space group: P-1 (2)


(two)
A relaxed BaH crystal. Source: the Alexandria database, functional PBE-GGA.

Cell lengths 4.3741, 4.3754, 7.9689 Å; angles 77.47, 77.30, 60.48 degrees
Closest atoms and distances in Å follow each position.
Fractional coordinates of all 4 atoms:
Ba1 0.2281 0.2254 0.2790  4 H 2.64-2.65
Ba2 0.7719 0.7746 0.7210  4 H 2.64-2.65
H1 0.1339 0.1358 0.6212  4 Ba 2.64-2.65
H2 0.8661 0.8642 0.3788  4 Ba 2.64-2.65

Results
- Spin magnetization: 0.142 μB/f.u.
- Space group: P-1 (2)


(three)
A relaxed BaH crystal. Source: the Alexandria database, functional PBE-GGA.

Cell lengths 4.3170, 4.3594, 5.9594 Å; angles 90.00, 90.00, 90.00 degrees
Closest atoms and distances in Å follow each position.
Fractional coordinates of all 4 atoms:
Ba1 0.0000 0.0000 0.0000  2 H 2.55
Ba2 0.5000 0.5000 0.4608  2 H 2.58
H1 0.0000 0.0000 0.5007  2 H 2.73, 2 Ba 2.98
H2 0.0000 0.5000 0.2236  4 Ba 2.55-2.58, 2 H 2.73

Results
- Spin magnetization: 0.000 μB/f.u.
- Space group: Pmm2 (25)


Calculated relative energies: (one) 0.059; (two) 0.000; (three) 0.032, given in eV/atom


(one)
A relaxed BaH crystal. Source: the Alexandria database, functional PBE-GGA.

Cell lengths 7.8505, 7.6163, 6.4831 Å; angles 67.11, 63.35, 49.53 degrees
Closest atoms and distances in Å follow each position.
Fractional coordinates of all 8 atoms:
Ba1 0.0965 0.6535 0.0965  4 H 2.64-2.69
Ba2 0.3465 0.9035 0.3465  4 H 2.64-2.69
Ba3 0.6535 0.0965 0.6535  4 H 2.64-2.69
Ba4 0.9035 0.3465 0.9035  4 H 2.64-2.69
H1 0.0018 0.0018 0.7482  4 Ba 2.64-2.69
H2 0.2518 0.2518 0.9982  4 Ba 2.64-2.69
H3 0.7482 0.7482 0.0018  4 Ba 2.64-2.69
H4 0.9982 0.9982 0.2518  4 Ba 2.64-2.69

Results
- Spin magnetization: 0.000 μB/f.u.
- Space group: Fddd (70)


(two)
A relaxed BaH crystal. Source: the Alexandria database, functional PBE-GGA.

Cell lengths 4.3546, 13.2246, 6.4602 Å; angles 90.00, 90.00, 90.00 degrees
Closest atoms and distances in Å follow each position.
Fractional coordinates of all 12 atoms:
Ba1 0.2500 0.0900 0.2107  4 H 2.65-2.72
Ba2 0.2500 0.4100 0.2107  4 H 2.65-2.72
Ba3 0.2500 0.7500 0.2757  4 H 2.65-2.71
Ba4 0.7500 0.2500 0.7243  4 H 2.65-2.71
Ba5 0.7500 0.5900 0.7893  4 H 2.65-2.72
Ba6 0.7500 0.9100 0.7893  4 H 2.65-2.72
H1 0.2500 0.2500 0.4757  4 Ba 2.71-2.72
H2 0.2500 0.5924 0.0225  4 Ba 2.65-2.70
H3 0.2500 0.9076 0.0225  4 Ba 2.65-2.70
H4 0.7500 0.0924 0.9775  4 Ba 2.65-2.70
H5 0.7500 0.4076 0.9775  4 Ba 2.65-2.70
H6 0.7500 0.7500 0.5243  4 Ba 2.71-2.72

Results
- Spin magnetization: 0.274 μB/f.u.
- Space group: Pmmn (59)


(three)
A relaxed BaH crystal. Source: the Alexandria database, functional PBE-GGA.

Cell lengths 11.0836, 11.0836, 4.4186 Å; angles 90.00, 90.00, 90.00 degrees
Closest atoms and distances in Å follow each position.
Fractional coordinates of all 16 atoms:
Ba1 0.0711 0.3182 0.0000  4 H 2.64-2.65
Ba2 0.2473 0.5874 0.5000  4 H 2.61-2.67
Ba3 0.3182 0.9289 0.0000  4 H 2.64-2.65
Ba4 0.4126 0.2473 0.5000  4 H 2.61-2.67
Ba5 0.5874 0.7527 0.5000  4 H 2.61-2.67
Ba6 0.6818 0.0711 0.0000  4 H 2.64-2.65
Ba7 0.7527 0.4126 0.5000  4 H 2.61-2.67
Ba8 0.9289 0.6818 0.0000  4 H 2.64-2.65
H1 0.1279 0.5498 0.0000  4 Ba 2.61-2.65
H2 0.1974 0.3550 0.5000  4 Ba 2.63-2.67
H3 0.3550 0.8026 0.5000  4 Ba 2.63-2.67
H4 0.4502 0.1279 0.0000  4 Ba 2.61-2.65
H5 0.5498 0.8721 0.0000  4 Ba 2.61-2.65
H6 0.6450 0.1974 0.5000  4 Ba 2.63-2.67
H7 0.8026 0.6450 0.5000  4 Ba 2.63-2.67
H8 0.8721 0.4502 0.0000  4 Ba 2.61-2.65

Results
- Spin magnetization: 0.107 μB/f.u.
- Space group: P4/m (83)


(four)
A relaxed BaH crystal. Source: the Alexandria database, functional PBE-GGA.

Cell lengths 4.3902, 4.3902, 6.9996 Å; angles 90.00, 90.00, 120.00 degrees
Closest atoms and distances in Å follow each position.
Fractional coordinates of all 4 atoms:
Ba1 0.0000 0.0000 0.0000  4 H 2.64-2.90
Ba2 0.3333 0.6667 0.5576  3 H 2.58
H1 0.0000 0.0000 0.6225  4 Ba 2.58-2.64, 3 H 2.82
H2 0.6667 0.3333 0.7989  3 H 2.82, 6 Ba 2.90-3.05

Results
- Spin magnetization: 0.016 μB/f.u.
- Space group: P3m1 (156)


Calculated relative energies: (one) 0.000; (two) 0.035; (three) 0.054; (four) 0.005, given in eV/atom


(one)
A relaxed BaH crystal. Source: the Alexandria database, functional PBE-GGA.

Cell lengths 8.6920, 4.3673, 6.6459 Å; angles 90.00, 90.00, 90.00 degrees
Closest atoms and distances in Å follow each position.
Fractional coordinates of all 8 atoms:
Ba1 0.1463 0.2500 0.1997  4 H 2.64-2.68
Ba2 0.3537 0.7500 0.6997  4 H 2.64-2.68
Ba3 0.6463 0.2500 0.3003  4 H 2.64-2.68
Ba4 0.8537 0.7500 0.8003  4 H 2.64-2.68
H1 0.1308 0.7500 0.9766  4 Ba 2.64-2.68
H2 0.3692 0.2500 0.4766  4 Ba 2.64-2.68
H3 0.6308 0.7500 0.5234  4 Ba 2.64-2.68
H4 0.8692 0.2500 0.0234  4 Ba 2.64-2.68

Results
- Spin magnetization: 0.000 μB/f.u.
- Space group: Pnma (62)


(two)
A relaxed BaH crystal. Source: the Alexandria database, functional PBE-GGA.

Cell lengths 4.6713, 4.6713, 5.9231 Å; angles 90.00, 90.00, 120.00 degrees
Closest atoms and distances in Å follow each position.
Fractional coordinates of all 4 atoms:
Ba1 0.3333 0.6667 0.2500  5 H 2.70-2.96
Ba2 0.6667 0.3333 0.7500  5 H 2.70-2.96
H1 0.3333 0.6667 0.7500  5 Ba 2.70-2.96
H2 0.6667 0.3333 0.2500  5 Ba 2.70-2.96

Results
- Spin magnetization: 0.810 μB/f.u.
- Space group: P6_3/mmc (194)


(three)
A relaxed BaH crystal. Source: the Alexandria database, functional PBE-GGA.

Cell lengths 4.1184, 4.1184, 4.1184 Å; angles 60.00, 60.00, 60.00 degrees
Closest atoms and distances in Å follow each position.
Fractional coordinates of all 2 atoms:
Ba1 0.0000 0.0000 0.0000  6 H 2.91
H1 0.5000 0.5000 0.5000  6 Ba 2.91

Results
- Spin magnetization: 0.685 μB/f.u.
- Space group: Fm-3m (225)


Calculated relative energies: (one) 0.000; (two) 0.037; (three) 0.067, given in eV/atom


(one)
A relaxed Ba3H2 crystal. Source: the Alexandria database, functional PBE-GGA.

Cell lengths 8.0647, 8.0647, 8.0647 Å; angles 54.70, 54.70, 54.70 degrees
Closest atoms and distances in Å follow each position.
Fractional coordinates of all 10 atoms:
Ba1 0.0735 0.7500 0.4265  4 H 2.92-3.06
Ba2 0.2500 0.5735 0.9265  4 H 2.92-3.06
Ba3 0.4265 0.0735 0.7500  4 H 2.92-3.06
Ba4 0.5735 0.9265 0.2500  4 H 2.92-3.06
Ba5 0.7500 0.4265 0.0735  4 H 2.92-3.06
Ba6 0.9265 0.2500 0.5735  4 H 2.92-3.06
H1 0.1688 0.1688 0.1688  6 Ba 2.92-3.06
H2 0.3312 0.3312 0.3312  6 Ba 2.92-3.06
H3 0.6688 0.6688 0.6688  6 Ba 2.92-3.06
H4 0.8312 0.8312 0.8312  6 Ba 2.92-3.06

Results
- Spin magnetization: 0.009 μB/f.u.
- Space group: R-3c (167)


(two)
A relaxed Ba3H2 crystal. Source: the Alexandria database, functional PBE-GGA.

Cell lengths 7.6951, 7.6951, 7.6343 Å; angles 99.21, 99.21, 120.39 degrees
Closest atoms and distances in Å follow each position.
Fractional coordinates of all 10 atoms:
Ba1 0.0844 0.9156 0.5000  3 H 2.65
Ba2 0.2004 0.7288 0.9973  3 H 2.65
Ba3 0.3682 0.5547 0.4758  2 H 2.63
Ba4 0.5547 0.3682 0.9758  2 H 2.63
Ba5 0.7288 0.2004 0.4973  3 H 2.65
Ba6 0.9156 0.0844 0.0000  3 H 2.65
H1 0.0184 0.1803 0.3657  4 Ba 2.63-2.65
H2 0.1803 0.0184 0.8657  4 Ba 2.63-2.65
H3 0.3499 0.8516 0.3628  4 Ba 2.63-2.65
H4 0.8516 0.3499 0.8628  4 Ba 2.63-2.65

Results
- Spin magnetization: 0.014 μB/f.u.
- Space group: Cc (9)


Calculated relative energies: (one) 0.042; (two) 0.000, given in eV/atom


(one)
A relaxed BaHf2H crystal. Source: the Alexandria database, functional PBE-GGA.

Cell lengths 4.9729, 4.9729, 4.9729 Å; angles 60.00, 60.00, 60.00 degrees
Closest atoms and distances in Å follow each position.
Fractional coordinates of all 4 atoms:
Ba1 0.0000 0.0000 0.0000  8 Hf 3.05
Hf1 0.2500 0.2500 0.2500  4 H 3.05, 4 Ba 3.05
Hf2 0.7500 0.7500 0.7500  4 Ba 3.05, 4 H 3.05
H1 0.5000 0.5000 0.5000  8 Hf 3.05

Results
- Spin magnetization: 0.000 μB/f.u.
- Space group: Fm-3m (225)


(two)
A relaxed BaHf2H crystal. Source: the Alexandria database, functional PBE-GGA.

Cell lengths 6.5479, 6.5479, 6.5479 Å; angles 60.00, 60.00, 60.00 degrees
Closest atoms and distances in Å follow each position.
Fractional coordinates of all 8 atoms:
Ba1 0.1250 0.1250 0.1250  12 Hf 3.84, 4 Ba 4.01, 4 H 4.01
Ba2 0.8750 0.8750 0.8750  12 Hf 3.84, 4 H 4.01, 4 Ba 4.01
Hf1 0.0000 0.5000 0.5000  2 H 2.00
Hf2 0.5000 0.0000 0.5000  2 H 2.00
Hf3 0.5000 0.5000 0.0000  2 H 2.00
Hf4 0.5000 0.5000 0.5000  2 H 2.00
H1 0.3750 0.3750 0.3750  4 Hf 2.00
H2 0.6250 0.6250 0.6250  4 Hf 2.00

Results
- Spin magnetization: 2.994 μB/f.u.
- Space group: Fd-3m (227)


Calculated relative energies: (one) 1.239; (two) 0.000, given in eV/atom


(one)
A relaxed BaHfH2 crystal. Source: the Alexandria database, functional PBE-GGA.

Cell lengths 4.5983, 4.5983, 4.5983 Å; angles 60.00, 60.00, 60.00 degrees
Closest atoms and distances in Å follow each position.
Fractional coordinates of all 4 atoms:
Ba1 0.0000 0.0000 0.0000  8 H 2.82
Hf1 0.5000 0.5000 0.5000  8 H 2.82
H1 0.2500 0.2500 0.2500  4 Ba 2.82, 4 Hf 2.82
H2 0.7500 0.7500 0.7500  4 Ba 2.82, 4 Hf 2.82

Results
- Spin magnetization: 1.077 μB/f.u.
- Space group: Fm-3m (225)


(two)
A relaxed BaHfH2 crystal. Source: the Alexandria database, functional PBE-GGA.

Cell lengths 5.7999, 5.7999, 5.7999 Å; angles 117.82, 117.82, 93.82 degrees
Closest atoms and distances in Å follow each position.
Fractional coordinates of all 8 atoms:
Ba1 0.0000 0.0000 0.0000  4 H 2.75
Ba2 0.7500 0.2500 0.5000  4 H 2.75
Hf1 0.2500 0.7500 0.5000  4 H 2.01
Hf2 0.5000 0.5000 0.0000  4 H 2.01
H1 0.2225 0.6250 0.0975  2 Hf 2.01
H2 0.3750 0.4725 0.5975  2 Hf 2.01
H3 0.5275 0.1250 0.9025  2 Hf 2.01
H4 0.8750 0.7775 0.4025  2 Hf 2.01

Results
- Spin magnetization: 0.000 μB/f.u.
- Space group: I-42d (122)


Calculated relative energies: (one) 0.693; (two) 0.000, given in eV/atom


(one)
A relaxed BaHfH3 crystal. Source: the Alexandria database, functional PBE-GGA.

Cell lengths 4.1885, 4.1885, 4.1885 Å; angles 90.00, 90.00, 90.00 degrees
Closest atoms and distances in Å follow each position.
Fractional coordinates of all 5 atoms:
Ba1 0.0000 0.0000 0.0000  12 H 2.96
Hf1 0.5000 0.5000 0.5000  6 H 2.09
H1 0.0000 0.5000 0.5000  2 Hf 2.09
H2 0.5000 0.0000 0.5000  2 Hf 2.09
H3 0.5000 0.5000 0.0000  2 Hf 2.09

Results
- Spin magnetization: 1.815 μB/f.u.
- Space group: Pm-3m (221)


(two)
A relaxed BaHfH3 crystal. Source: the Alexandria database, functional PBE-GGA.

Cell lengths 4.5649, 4.5649, 4.5649 Å; angles 90.00, 90.00, 90.00 degrees
Closest atoms and distances in Å follow each position.
Fractional coordinates of all 5 atoms:
Ba1 0.0000 0.0000 0.0000  6 H 2.28
Hf1 0.5000 0.5000 0.5000  12 H 3.23
H1 0.0000 0.0000 0.5000  2 Ba 2.28
H2 0.0000 0.5000 0.0000  2 Ba 2.28
H3 0.5000 0.0000 0.0000  2 Ba 2.28

Results
- Spin magnetization: 0.000 μB/f.u.
- Space group: Pm-3m (221)


Calculated relative energies: (one) 0.000; (two) 1.071, given in eV/atom


(one)
A relaxed Ba2HgH crystal. Source: the Alexandria database, functional PBE-GGA.

Cell lengths 10.5311, 10.5311, 10.5311 Å; angles 22.73, 22.73, 22.73 degrees
Closest atoms and distances in Å follow each position.
Fractional coordinates of all 4 atoms:
Ba1 0.1141 0.1141 0.1141  3 H 2.89
Ba2 0.8859 0.8859 0.8859  3 H 2.89
Hg1 0.0000 0.0000 0.0000  2 Ba 3.51
H1 0.5000 0.5000 0.5000  6 Ba 2.89

Results
- Spin magnetization: 1.014 μB/f.u.
- Space group: R-3m (166)


(two)
A relaxed Ba2HgH crystal. Source: the Alexandria database, functional PBE-GGA.

Cell lengths 3.8399, 3.8399, 8.3292 Å; angles 90.00, 90.00, 90.00 degrees
Closest atoms and distances in Å follow each position.
Fractional coordinates of all 4 atoms:
Ba1 0.0000 0.0000 0.2303  4 H 3.32, 4 Hg 3.52
Ba2 0.0000 0.0000 0.7697  4 H 3.32, 4 Hg 3.52
Hg1 0.5000 0.5000 0.5000  8 Ba 3.52, 4 Hg 3.84
H1 0.5000 0.5000 0.0000  8 Ba 3.32

Results
- Spin magnetization: 0.000 μB/f.u.
- Space group: P4/mmm (123)


(three)
A relaxed Ba2HgH crystal. Source: the Alexandria database, functional PBE-GGA.

Cell lengths 7.1487, 7.1487, 5.8219 Å; angles 90.00, 90.00, 110.45 degrees
Closest atoms and distances in Å follow each position.
Fractional coordinates of all 8 atoms:
Ba1 0.1172 0.3443 0.2500  2 H 2.73
Ba2 0.3443 0.1172 0.7500  2 H 2.73
Ba3 0.6557 0.8828 0.2500  2 H 2.73
Ba4 0.8828 0.6557 0.7500  2 H 2.73
Hg1 0.3780 0.6220 0.7500  8 Ba 3.53-3.65
Hg2 0.6220 0.3780 0.2500  8 Ba 3.53-3.65
H1 0.0000 0.0000 0.0000  4 Ba 2.73, 2 H 2.91
H2 0.0000 0.0000 0.5000  4 Ba 2.73, 2 H 2.91

Results
- Spin magnetization: 0.000 μB/f.u.
- Space group: Cmcm (63)


Calculated relative energies: (one) 0.289; (two) 0.127; (three) 0.000, given in eV/atom


(one)
A relaxed Ba2HgH crystal. Source: the Alexandria database, functional PBE-GGA.

Cell lengths 8.5531, 8.5531, 8.5531 Å; angles 29.56, 29.56, 29.56 degrees
Closest atoms and distances in Å follow each position.
Fractional coordinates of all 4 atoms:
Ba1 0.0000 0.0000 0.0000  3 H 3.03
Ba2 0.1948 0.1948 0.1948  3 H 3.05
Hg1 0.4285 0.4285 0.4285  6 Ba 3.43-3.51
H1 0.5979 0.5979 0.5979  6 Ba 3.03-3.05

Results
- Spin magnetization: 0.015 μB/f.u.
- Space group: R3m (160)


(two)
A relaxed Ba2HgH crystal. Source: the Alexandria database, functional PBE-GGA.

Cell lengths 7.1436, 7.1436, 7.1436 Å; angles 112.68, 112.68, 103.24 degrees
Closest atoms and distances in Å follow each position.
Fractional coordinates of all 8 atoms:
Ba1 0.0402 0.6250 0.9152  2 H 2.62
Ba2 0.3750 0.2902 0.4152  2 H 2.62
Ba3 0.7098 0.1250 0.0848  2 H 2.62
Ba4 0.8750 0.9598 0.5848  2 H 2.62
Hg1 0.2500 0.7500 0.5000  4 Ba 3.49
Hg2 0.5000 0.5000 0.0000  4 Ba 3.49
H1 0.0000 0.0000 0.0000  4 Ba 2.62
H2 0.7500 0.2500 0.5000  4 Ba 2.62

Results
- Spin magnetization: 0.000 μB/f.u.
- Space group: I-42d (122)


(three)
A relaxed Ba2HgH crystal. Source: the Alexandria database, functional PBE-GGA.

Cell lengths 7.9561, 7.9561, 6.1250 Å; angles 90.00, 90.00, 135.25 degrees
Closest atoms and distances in Å follow each position.
Fractional coordinates of all 8 atoms:
Ba1 0.1200 0.3396 0.0000  2 H 2.63
Ba2 0.3396 0.1200 0.5000  2 H 2.63
Ba3 0.6604 0.8800 0.5000  2 H 2.63
Ba4 0.8800 0.6604 0.0000  2 H 2.63
Hg1 0.0000 0.5000 0.5000  8 Ba 3.56-3.77
Hg2 0.5000 0.0000 0.0000  8 Ba 3.56-3.77
H1 0.0000 0.0000 0.2500  4 Ba 2.63
H2 0.0000 0.0000 0.7500  4 Ba 2.63

Results
- Spin magnetization: 0.000 μB/f.u.
- Space group: Cccm (66)


(four)
A relaxed Ba2HgH crystal. Source: the Alexandria database, functional PBE-GGA.

Cell lengths 5.7236, 5.7236, 5.7236 Å; angles 60.00, 60.00, 60.00 degrees
Closest atoms and distances in Å follow each position.
Fractional coordinates of all 4 atoms:
Ba1 0.2500 0.2500 0.2500  4 Hg 3.50, 4 H 3.50
Ba2 0.7500 0.7500 0.7500  4 H 3.50, 4 Hg 3.50
Hg1 0.0000 0.0000 0.0000  8 Ba 3.50
H1 0.5000 0.5000 0.5000  8 Ba 3.50

Results
- Spin magnetization: 0.000 μB/f.u.
- Space group: Fm-3m (225)


Calculated relative energies: (one) 0.123; (two) 0.100; (three) 0.000; (four) 0.319, given in eV/atom